1.
DFT (PBE-GGA) results for a geometry-optimized YBC structure.

a b c (Å): 10.014 10.014 3.541
angles (deg): 90.00 90.00 160.53
Element x y z (fractional)
Y  0.159  0.841  0.000
Y  0.841  0.159  0.000
B  0.724  0.276  0.500
B  0.276  0.724  0.500
C  0.351  0.649  0.500
C  0.649  0.351  0.500

Calculated values
E above lowest polymorph: 394 meV per atom
Energy of formation from the pure elements: -13.5 kJ/mol of formula units

2.
DFT (PBE-GGA) results for a geometry-optimized Y2BC structure.

a b c (Å): 4.486 4.486 4.486
angles (deg): 60.00 60.00 60.00
Element x y z (fractional)
Y  0.250  0.250  0.250
Y  0.750  0.750  0.750
C  0.500  0.500  0.500
B  0.000  0.000  0.000

Calculated values
E above lowest polymorph: 129 meV per atom
Energy of formation from the pure elements: 186.3 kJ/mol of formula units

3.
DFT (PBE-GGA) results for a geometry-optimized YbB2C2 structure.

a b c (Å): 3.793 3.793 7.335
angles (deg): 90.00 90.00 90.00
Element x y z (fractional)
Yb  0.000  0.000  0.750
Yb  0.000  0.000  0.250
B  0.218  0.500  0.000
B  0.782  0.500  0.000
B  0.500  0.218  0.500
B  0.500  0.782  0.500
C  0.500  0.185  0.000
C  0.500  0.815  0.000
C  0.815  0.500  0.500
C  0.185  0.500  0.500

Calculated values
Energy of formation from the pure elements: -118.7 kJ/mol of formula units

4.
DFT (PBE-GGA) results for a geometry-optimized ZnB2C structure.

a b c (Å): 4.657 4.657 4.810
angles (deg): 61.04 61.04 90.00
Element x y z (fractional)
Zn  0.000  0.000  0.000
Zn  0.750  0.250  0.500
B  0.517  0.125  0.250
B  0.233  0.625  0.250
B  0.375  0.483  0.750
B  0.875  0.767  0.750
C  0.500  0.500  0.000
C  0.250  0.750  0.500

Calculated values
E above lowest polymorph: 0 meV per atom
Energy of formation from the pure elements: 215.9 kJ/mol of formula units

5.
DFT (PBE-GGA) results for a geometry-optimized ZnBC3 structure.

a b c (Å): 3.512 3.512 3.512
angles (deg): 90.00 90.00 90.00
Element x y z (fractional)
Zn  0.500  0.500  0.500
B  0.000  0.000  0.000
C  0.000  0.500  0.000
C  0.000  0.000  0.500
C  0.500  0.000  0.000

Calculated values
E above lowest polymorph: 0 meV per atom
Energy of formation from the pure elements: 1139.0 kJ/mol of formula units

6.
DFT (PBE-GGA) results for a geometry-optimized ZnBC3 structure.

a b c (Å): 3.927 3.927 3.927
angles (deg): 90.00 90.00 90.00
Element x y z (fractional)
Zn  0.000  0.000  0.000
B  0.500  0.500  0.500
C  0.000  0.500  0.000
C  0.000  0.000  0.500
C  0.500  0.000  0.000

Calculated values
E above lowest polymorph: 1368 meV per atom
Energy of formation from the pure elements: 1799.0 kJ/mol of formula units

What is the energy of formation from the pure elements in the fifth record?
1139.0 kJ/mol of formula units

Which of these has the highest energy of formation from the pure elements?
number 6

Among the records above, which one has the highest energy of formation from the pure elements?
number 6